First-principles (GGA-PBE) data for a relaxed structure of Nd3GaP2Pt9, as listed in Alexandria via LeMat-Bulk.

Calculated values
**Spin magnetization**: 0.00 μB per formula unit
**ΔH_f (0 K)**: -1074 kJ/mol of formula units
**V**: 20.67 A^3/atom
**Symmetry**: P-3m1

Cell lengths 6.3703, 6.3703, 8.8231 Å; angles 90.00, 90.00, 120.00 degrees
Fractional coordinates of all 15 atoms:
Nd1 0.6667 0.3333 0.3176
Pt1 0.5000 0.0000 0.0000
Ga1 0.0000 0.0000 0.5000
Pt2 0.1470 0.2941 0.2824
Pt3 0.1470 0.8530 0.2824
Nd2 0.0000 0.0000 0.0000
Pt4 0.8530 0.1470 0.7176
Pt5 0.7059 0.8530 0.2824
Pt6 0.0000 0.5000 0.0000
P1 0.6667 0.3333 0.8212
Pt7 0.8530 0.7059 0.7176
P2 0.3333 0.6667 0.1788
Pt8 0.5000 0.5000 0.0000
Pt9 0.2941 0.1470 0.7176
Nd3 0.3333 0.6667 0.6824